[1]
The following is a SCAN calculation of a crystal of Mg3Te relaxed with PBEsol, from the Alexandria database.

```
8
Lattice="3.843 0.000 0.000 0.000 9.884 0.000 0.000 0.000 5.061" Properties=species:S:1:pos:R:3 pbc="T T T"
Mg 0.000 0.000 0.000
Mg 0.000 2.342 2.074
Mg 0.000 7.542 2.074
Mg 1.921 2.600 4.605
Mg 1.921 4.942 2.531
Mg 1.921 7.284 4.605
Te 0.000 4.942 0.230
Te 1.921 0.000 2.761
```

* volume: 192.2 Å³/cell
* formation energy from raw total energies: -0.179 eV per atom
* total magnetization: 0.0 μB per formula unit
* symmetry: Imm2 (44)
* final energy: -13.222 eV per atom
* excess energy over the best structure of this formula in the dataset: 1 meV per atom

---

[2]
The following is a SCAN calculation of a crystal of MgTe5 relaxed with PBEsol, from the Alexandria database.

```
12
Lattice="5.244 0.000 0.000 0.000 11.178 0.000 0.000 0.000 5.526" Properties=species:S:1:pos:R:3 pbc="T T T"
Mg 0.000 0.000 0.000
Mg 2.622 5.589 0.000
Te 0.000 1.894 2.763
Te 0.000 4.059 0.000
Te 0.000 5.589 2.763
Te 0.000 7.118 0.000
Te 0.000 9.284 2.763
Te 2.622 0.000 2.763
Te 2.622 1.529 0.000
Te 2.622 3.695 2.763
Te 2.622 7.483 2.763
Te 2.622 9.648 0.000
```

* volume: 323.9 Å³/cell
* formation energy from raw total energies: 0.044 eV per atom
* total magnetization: 0.0 μB per formula unit
* symmetry: Cmmm (65)
* final energy: -31.827 eV per atom

---

[3]
The following is a SCAN calculation of a crystal of MgTe2 relaxed with PBEsol, from the Alexandria database.

```
6
Lattice="3.905 0.000 0.000 0.000 3.905 0.000 0.000 0.000 10.332" Properties=species:S:1:pos:R:3 pbc="T T T"
Mg 0.000 0.000 0.000
Mg 1.953 1.953 5.166
Te 0.000 0.000 3.699
Te 0.000 0.000 6.633
Te 1.953 1.953 1.467
Te 1.953 1.953 8.865
```

* volume: 157.6 Å³/cell
* formation energy from raw total energies: -0.242 eV per atom
* total magnetization: 0.0 μB per formula unit
* symmetry: I4/mmm (139)
* final energy: -26.734 eV per atom

---

Number 1: ρ 3.46 g/cm3. Number 2: ρ 6.79 g/cm3. Number 3: ρ 5.89 g/cm3.